! PBE with a Hubbard U MnVRhO6, relaxed; values from VASP
! * M_tot: 0.331 μB/atom
! * space group: P-31c (163)
! * total DFT energy (no corrections): -7.08 eV/atom
&SYSTEM
  ibrav = 0, nat = 18, ntyp = 4
/
ATOMIC_SPECIES
Mn 54.94 Mn.upf
V 50.94 V.upf
Rh 102.91 Rh.upf
O 16.00 O.upf
CELL_PARAMETERS angstrom
4.982 0.000 0.000
-2.491 4.315 0.000
0.000 0.000 9.005
ATOMIC_POSITIONS crystal
Mn 0.000 0.000 0.000
Mn 0.000 0.000 0.500
V 0.333 0.667 0.250
V 0.667 0.333 0.750
Rh 0.333 0.667 0.750
Rh 0.667 0.333 0.250
O 0.014 0.353 0.131
O 0.014 0.661 0.369
O 0.339 0.353 0.369
O 0.339 0.986 0.131
O 0.353 0.014 0.631
O 0.353 0.339 0.869
O 0.647 0.661 0.131
O 0.647 0.986 0.369
O 0.661 0.014 0.869
O 0.661 0.647 0.631
O 0.986 0.339 0.631
O 0.986 0.647 0.869